Entry from Alexandria: an optimized crystal structure of TaMo6 (PBEsol).

Structure (extended XYZ):
```
7
Lattice="4.7157 -2.2251 0.0000 4.7157 2.2251 0.0000 -0.5141 0.0000 5.1921" Properties=species:S:1:pos:R:3 pbc="T T T"
Ta 0.0000 0.0000 0.0000
Mo 1.0613 0.0000 2.9468
Mo 2.6342 0.0000 0.7396
Mo 3.6735 0.0000 3.6915
Mo 5.2438 0.0000 1.5005
Mo 6.2831 0.0000 4.4525
Mo 7.8559 0.0000 2.2453
```

Properties
Polymorph energy (0 for the lowest one) ... 0.5 kJ per mole of atoms
ΔH_f (0 K) ... -69 meV/atom
Space-group type ... C2/m

---

Entry from Alexandria: an optimized crystal structure of Rb3CuN (PBEsol).

Structure (extended XYZ):
```
5
Lattice="6.1506 0.0000 0.0000 0.0000 6.1506 0.0000 0.0000 0.0000 6.1506" Properties=species:S:1:pos:R:3 pbc="T T T"
Rb 0.0000 0.0000 3.0753
Rb 0.0000 3.0753 0.0000
Rb 3.0753 0.0000 0.0000
Cu 0.0000 0.0000 0.0000
N 3.0753 3.0753 3.0753
```

Properties
Space-group type ... Pm-3m

---

Entry from Alexandria: an optimized crystal structure of Mn2CoSi (PBEsol).

Structure (extended XYZ):
```
4
Lattice="1.2516 0.7226 7.7709 -1.2516 0.7226 7.7709 0.0000 -1.4453 7.7709" Properties=species:S:1:pos:R:3 pbc="T T T"
Mn 0.0000 0.0000 5.8311
Mn 0.0000 0.0000 17.4817
Co 0.0000 0.0000 0.0000
Si 0.0000 0.0000 11.6564
```

Properties
Space-group type ... R-3m

---

Entry from Alexandria: an optimized crystal structure of KSn2OsPb (PBEsol).

Structure (extended XYZ):
```
5
Lattice="5.6101 0.0000 0.0000 0.0000 5.6101 0.0000 0.0000 0.0000 5.9797" Properties=species:S:1:pos:R:3 pbc="T T T"
K 0.0000 0.0000 0.0000
Sn 0.0000 2.8050 2.9898
Sn 2.8050 0.0000 2.9898
Os 2.8050 2.8050 0.0000
Pb 0.0000 0.0000 2.9898
```

Properties
ΔH_f (0 K) ... 1895 meV/atom
Space-group type ... P4/mmm

---

Entry from Alexandria: an optimized crystal structure of AlH3O3 (PBEsol).

Structure (extended XYZ):
```
56
Lattice="4.9996 0.0000 0.0000 0.0000 9.3871 0.0000 -0.1189 0.0000 8.6689" Properties=species:S:1:pos:R:3 pbc="T T T"
Al -0.0550 0.0000 4.1901
Al 0.2564 0.0043 1.3323
Al 2.2336 4.6968 0.1381
Al 2.4003 9.3842 5.6360
Al 2.4804 4.6907 3.0329
Al 2.6471 0.0032 8.5308
Al 4.6243 4.6979 7.3366
Al 4.9356 4.6935 4.4788
H 0.3520 3.7215 2.2821
H 0.7467 5.8467 1.9768
H 0.6808 0.8952 7.7406
H 0.7291 2.0114 5.6276
H 0.7865 2.0010 2.9348
H 0.7424 2.7234 8.6522
H 0.8128 6.6097 8.1215
H 1.5035 7.3733 4.3665
H 1.5191 3.7681 6.1896
H 1.8866 7.4602 1.3978
H 1.8962 7.4363 7.0796
H 2.2027 5.6486 5.1856
H 2.6779 0.9551 3.4833
H 2.9844 2.7428 1.5893
H 2.9940 2.7667 7.2711
H 3.3615 8.4616 2.4793
H 3.3772 2.6798 4.3024
H 4.0678 1.9162 0.5474
H 4.1382 7.4169 0.0167
H 4.0942 6.6945 5.7341
H 4.1515 6.7049 3.0413
H 4.1998 5.5888 0.9283
H 4.1340 1.1532 6.6921
H 4.5286 8.4150 6.3868
O 0.5502 3.6846 5.9726
O 0.6546 3.7040 0.0368
O 0.7433 1.0088 5.6320
O 0.8098 1.0047 2.8329
O 0.8470 3.6623 3.1342
O 1.0501 1.0666 8.6400
O 1.1682 5.8415 7.6270
O 1.4934 8.3739 4.3957
O 1.5911 5.6999 4.4035
O 1.6898 5.8137 1.6727
O 1.8838 8.4576 1.2671
O 1.8736 8.4193 7.1347
O 3.0070 3.7258 1.5342
O 2.9968 3.7641 7.4018
O 3.1909 1.1201 6.9962
O 3.2895 1.0063 4.2654
O 3.3873 3.6803 4.2732
O 3.7124 1.1480 1.0419
O 3.8305 5.7601 0.0289
O 4.0337 8.3558 5.5347
O 4.0708 5.6982 5.8360
O 4.1374 5.7024 3.0369
O 4.2260 8.3975 8.6321
O 4.3304 8.3782 2.6963
```

Properties
Polymorph energy (0 for the lowest one) ... 1.3 kJ per mole of atoms
Space-group type ... P2_1

---

Entry from Alexandria: an optimized crystal structure of TaCo2 (PBEsol).

Structure (extended XYZ):
```
6
Lattice="-2.2724 2.2724 3.8346 2.2724 -2.2724 3.8346 2.2724 2.2724 -3.8346" Properties=species:S:1:pos:R:3 pbc="T T T"
Ta 0.0000 0.0000 1.9173
Ta 0.0000 0.0000 5.7519
Co 3.0678 0.7954 0.0000
Co 0.7954 1.4769 0.0000
Co 1.4769 0.7954 3.8346
Co -0.7954 1.4769 3.8346
```

Properties
ΔH_f (0 K) ... 142 meV/atom
Space-group type ... I4/mcm

---

Number 1: total DFT energy (no corrections) -11.9487 eV per atom. Number 2: total DFT energy (no corrections) -2.0348 eV per atom. Number 3: total DFT energy (no corrections) -8.2965 eV per atom. Number 4: total DFT energy (no corrections) -3.2785 eV per atom. Number 5: total DFT energy (no corrections) -6.0191 eV per atom. Number 6: total DFT energy (no corrections) -9.1999 eV per atom.